VASP calculation (GGA-PBE) on a relaxed CsRbCl2 crystal.

a b c (Å): 5.8200 5.8200 5.8200
angles (deg): 60.00 60.00 60.00
With the nearest neighbours (Å) after each atom.
Fractional coordinates of all 4 atoms:
Cs 0.0000 0.0000 0.0000  8 Cl 3.56
Rb 0.5000 0.5000 0.5000  8 Cl 3.56
Cl 0.2500 0.2500 0.2500  4 Rb 3.56, 4 Cs 3.56
Cl 0.7500 0.7500 0.7500  4 Cs 3.56, 4 Rb 3.56

Output
ΔE_f (raw) (eV/f.u.): -7.58
SG: Fm-3m (225)
Crystal system: cubic
ρ (g cm⁻³): 3.45
Offset from the most stable computed form (meV per atom): 56


VASP calculation (GGA-PBE) on a relaxed Pm8AgIr2 crystal.

a b c (Å): 7.9860 7.9860 5.8110
angles (deg): 98.37 98.37 114.16
With the nearest neighbours (Å) after each atom.
Fractional coordinates of all 11 atoms:
Pm 0.0000 0.0000 0.0000  1 Ag 3.23, 2 Ir 3.23, 4 Pm 3.39-3.59
Pm 0.0517 0.3055 0.6139  2 Ir 2.88-2.89
Pm 0.1440 0.6248 0.1933  2 Ir 3.01, 1 Ag 3.22
Pm 0.3055 0.0517 0.6139  2 Ir 2.88-2.89
Pm 0.4636 0.7173 0.7727  2 Ir 2.88-2.89
Pm 0.6248 0.1440 0.1933  2 Ir 3.01, 1 Ag 3.22
Pm 0.7173 0.4636 0.7727  2 Ir 2.88-2.89
Pm 0.7695 0.7695 0.3872  1 Ag 3.23, 2 Ir 3.23, 4 Pm 3.39-3.59
Ag 0.3848 0.3848 0.1962  4 Pm 3.22-3.23
Ir 0.0851 0.6840 0.6935  6 Pm 2.88-3.01
Ir 0.6840 0.0851 0.6935  6 Pm 2.88-3.01

Output
ΔE_f (eV per formula unit): -2.995
SG: Cm (8)
Crystal system: monoclinic
ρ (g cm⁻³): 8.42
Offset from the most stable computed form (meV per atom): 63


VASP calculation (GGA-PBE) on a relaxed LiPu3Ir2 crystal.

a b c (Å): 7.5925 7.5925 3.6544
angles (deg): 90.00 90.00 143.77
With the nearest neighbours (Å) after each atom.
Fractional coordinates of all 6 atoms:
Li 0.0000 0.0000 0.0000  8 Pu 2.99-3.22, 4 Ir 3.14
Pu 0.1841 0.8159 0.5000  2 Pu 3.03, 6 Ir 3.04-3.09, 2 Li 3.22
Pu 0.5000 0.5000 0.5000  4 Ir 2.76, 4 Li 2.99
Pu 0.8159 0.1841 0.5000  2 Pu 3.03, 6 Ir 3.04-3.09, 2 Li 3.22
Ir 0.3567 0.6433 0.0000  8 Pu 2.76-3.09
Ir 0.6433 0.3567 0.0000  8 Pu 2.76-3.09

Output
ΔE_f (eV per formula unit): -1.643
SG: Cmmm (65)
Crystal system: orthorhombic
ρ (g cm⁻³): 14.98


VASP calculation (GGA-PBE) on a relaxed SrCaMn2Te crystal.

a b c (Å): 5.3554 5.3554 5.8074
angles (deg): 90.00 90.00 90.00
With the nearest neighbours (Å) after each atom.
Fractional coordinates of all 5 atoms:
Sr 0.0000 0.0000 0.0000  4 Te 3.79, 8 Mn 3.95
Ca 0.5000 0.5000 0.5000  4 Mn 2.68, 2 Te 2.90
Mn 0.0000 0.5000 0.5000  2 Ca 2.68
Mn 0.5000 0.0000 0.5000  2 Ca 2.68
Te 0.5000 0.5000 0.0000  2 Ca 2.90

Output
ΔE_f (raw) (eV/f.u.): 2.71
SG: P4/mmm (123)
Crystal system: tetragonal
ρ (g cm⁻³): 3.64
Offset from the most stable computed form (meV per atom): 83


VASP calculation (GGA-PBE) on a relaxed Pm6Y4Mg crystal.

a b c (Å): 9.6718 9.6718 9.6718
angles (deg): 140.13 140.13 57.66
With the nearest neighbours (Å) after each atom.
Fractional coordinates of all 11 atoms:
Pm 0.0000 0.5000 0.5000  4 Pm 3.26, 2 Mg 3.30
Pm 0.2031 0.2031 0.6604  3 Pm 3.17-3.26, 3 Y 3.37-3.45
Pm 0.4572 0.7969 0.0000  3 Pm 3.17-3.26, 3 Y 3.37-3.45
Pm 0.5000 0.0000 0.5000  4 Pm 3.26, 2 Mg 3.30
Pm 0.5428 0.5428 0.3396  3 Pm 3.17-3.26, 3 Y 3.37-3.45
Pm 0.7969 0.4572 0.0000  3 Pm 3.17-3.26, 3 Y 3.37-3.45
Y 0.0079 0.6432 0.0000  5 Pm 3.37-3.61, 1 Y 3.40, 1 Mg 3.41
Y 0.3568 0.3568 0.3648  5 Pm 3.37-3.61, 1 Y 3.40, 1 Mg 3.41
Y 0.6432 0.0079 0.0000  5 Pm 3.37-3.61, 1 Y 3.40, 1 Mg 3.41
Y 0.9921 0.9921 0.6352  5 Pm 3.37-3.61, 1 Y 3.40, 1 Mg 3.41
Mg 0.0000 0.0000 0.0000  4 Pm 3.30, 4 Y 3.41

Output
ΔE_f (eV per formula unit): 2.813
SG: I-42m (121)
Crystal system: tetragonal
ρ (g cm⁻³): 5.63


VASP calculation (GGA-PBE) on a relaxed ScBeOs2 crystal.

a b c (Å): 5.1981 5.1981 4.2401
angles (deg): 114.07 114.07 33.59
With the nearest neighbours (Å) after each atom.
Fractional coordinates of all 4 atoms:
Sc 0.0000 0.0000 0.0000  6 Os 2.60-2.81, 2 Be 2.89
Be 0.2257 0.2257 0.7274  6 Os 2.50-2.62
Os 0.5039 0.5039 0.5037  2 Be 2.50, 4 Sc 2.60, 2 Os 2.63
Os 0.7642 0.7642 0.2653  4 Be 2.62, 2 Os 2.63, 2 Sc 2.81

Output
ΔE_f (eV per formula unit): -0.230
SG: Cm (8)
Crystal system: monoclinic
ρ (g cm⁻³): 12.58


- Which formula does entry 5 have?
  Pm6Y4Mg